(1)
Below is an optimized crystal structure of Er5In3, with properties calculated at the GGA-PBEsol level.

Lattice parameters (Å, degrees): 6.3158 8.8631 8.8631 120.00 90.00 90.00
Closest atoms and distances in Å follow each position.
Sites, in units of the cell vectors:
Er: 0.2500 0.0000 0.2347  3 In 3.10-3.22
Er: 0.7500 0.7653 0.0000  3 In 3.10-3.22
Er: 0.5000 0.3333 0.6667  6 In 3.13, 2 Er 3.16
Er: 0.7500 0.0000 0.7653  3 In 3.10-3.22
Er: 0.0000 0.6667 0.3333  6 In 3.13, 2 Er 3.16
Er: 0.5000 0.6667 0.3333  6 In 3.13, 2 Er 3.16
Er: 0.2500 0.7653 0.7653  3 In 3.10-3.22
Er: 0.2500 0.2347 0.0000  3 In 3.10-3.22
Er: 0.0000 0.3333 0.6667  6 In 3.13, 2 Er 3.16
Er: 0.7500 0.2347 0.2347  3 In 3.10-3.22
In: 0.2500 0.0000 0.5985  7 Er 3.10-3.22
In: 0.7500 0.4015 0.0000  7 Er 3.10-3.22
In: 0.7500 0.5985 0.5985  7 Er 3.10-3.22
In: 0.7500 0.0000 0.4015  7 Er 3.10-3.22
In: 0.2500 0.5985 0.0000  7 Er 3.10-3.22
In: 0.2500 0.4015 0.4015  7 Er 3.10-3.22

Results
As for the space group: No. 193. As for the total energy: -0.16873 Ha/atom. For the formation enthalpy at 0 K, the calculation gives -0.39 eV/atom. Its crystal system is hexagonal.

=====

(2)
Below is an optimized crystal structure of LaErIn2, with properties calculated at the GGA-PBEsol level.

Lattice parameters (Å, degrees): 5.3471 5.3471 5.3471 60.00 60.00 60.00
Closest atoms and distances in Å follow each position.
Sites, in units of the cell vectors:
In: 0.2500 0.2500 0.2500  4 La 3.27, 4 Er 3.27
In: 0.7500 0.7500 0.7500  4 La 3.27, 4 Er 3.27
Er: 0.5000 0.5000 0.5000  8 In 3.27
La: 0.0000 0.0000 0.0000  8 In 3.27

Results
As for the space group: No. 225. As for the total energy: -0.16790 Ha/atom. For the formation enthalpy at 0 K, the calculation gives -0.51 eV/atom. Its crystal system is cubic.

=====

(3)
Below is an optimized crystal structure of Li2ErIn, with properties calculated at the GGA-PBEsol level.

Lattice parameters (Å, degrees): 4.7490 4.7490 4.7490 60.00 60.00 60.00
Closest atoms and distances in Å follow each position.
Sites, in units of the cell vectors:
In: 0.0000 0.0000 0.0000  8 Li 2.91
Er: 0.5000 0.5000 0.5000  8 Li 2.91
Li: 0.2500 0.2500 0.2500  4 In 2.91, 4 Er 2.91
Li: 0.7500 0.7500 0.7500  4 In 2.91, 4 Er 2.91

Results
As for the space group: No. 225. As for the total energy: -0.11969 Ha/atom. For the formation enthalpy at 0 K, the calculation gives -0.30 eV/atom. Its crystal system is cubic.

=====

(4)
Below is an optimized crystal structure of LiErIn2, with properties calculated at the GGA-PBEsol level.

Lattice parameters (Å, degrees): 5.0143 5.0143 5.0143 60.00 60.00 60.00
Closest atoms and distances in Å follow each position.
Sites, in units of the cell vectors:
Li: 0.0000 0.0000 0.0000  8 In 3.07
Er: 0.5000 0.5000 0.5000  8 In 3.07
In: 0.7500 0.7500 0.7500  4 Li 3.07, 4 Er 3.07
In: 0.2500 0.2500 0.2500  4 Er 3.07, 4 Li 3.07

Results
As for the space group: No. 225. As for the total energy: -0.13354 Ha/atom. For the formation enthalpy at 0 K, the calculation gives -0.42 eV/atom. Its crystal system is cubic.

=====

(5)
Below is an optimized crystal structure of LiEr2In, with properties calculated at the GGA-PBEsol level.

Lattice parameters (Å, degrees): 5.1484 5.1484 5.1484 60.00 60.00 60.00
Closest atoms and distances in Å follow each position.
Sites, in units of the cell vectors:
Er: 0.2500 0.2500 0.2500  4 Li 3.15, 4 In 3.15
Er: 0.7500 0.7500 0.7500  4 In 3.15, 4 Li 3.15
Li: 0.0000 0.0000 0.0000  8 Er 3.15
In: 0.5000 0.5000 0.5000  8 Er 3.15

Results
As for the space group: No. 225. As for the total energy: -0.14600 Ha/atom. For the formation enthalpy at 0 K, the calculation gives -0.27 eV/atom. Its crystal system is cubic.

=====

(6)
Below is an optimized crystal structure of Er2MgIn, with properties calculated at the GGA-PBEsol level.

Lattice parameters (Å, degrees): 5.1912 5.1912 5.1912 60.00 60.00 60.00
Closest atoms and distances in Å follow each position.
Sites, in units of the cell vectors:
In: 0.5000 0.5000 0.5000  8 Er 3.18
Er: 0.7500 0.7500 0.7500  4 Mg 3.18, 4 In 3.18
Er: 0.2500 0.2500 0.2500  4 In 3.18, 4 Mg 3.18
Mg: 0.0000 0.0000 0.0000  8 Er 3.18

Results
As for the space group: No. 225. As for the total energy: -0.14580 Ha/atom. For the formation enthalpy at 0 K, the calculation gives -0.33 eV/atom. Its crystal system is cubic.

=====

(7)
Below is an optimized crystal structure of ErMgIn, with properties calculated at the GGA-PBEsol level.

Lattice parameters (Å, degrees): 4.5965 7.3793 7.3793 120.00 90.00 90.00
Closest atoms and distances in Å follow each position.
Sites, in units of the cell vectors:
Er: 0.0000 0.5640 0.0000  5 In 3.17-3.22, 2 Mg 3.31
Er: 0.0000 0.4360 0.4360  5 In 3.17-3.22, 2 Mg 3.31
Er: 0.0000 0.0000 0.5640  5 In 3.17-3.22, 2 Mg 3.31
Mg: 0.5000 0.7581 0.7581  4 In 2.86-2.91, 2 Mg 3.09
Mg: 0.5000 0.2419 0.0000  4 In 2.86-2.91, 2 Mg 3.09
Mg: 0.5000 0.0000 0.2419  4 In 2.86-2.91, 2 Mg 3.09
In: 0.0000 0.0000 0.0000  6 Mg 2.91, 3 Er 3.22
In: 0.5000 0.3333 0.6667  3 Mg 2.86, 6 Er 3.17
In: 0.5000 0.6667 0.3333  3 Mg 2.86, 6 Er 3.17

Results
As for the space group: No. 189. As for the total energy: -0.13285 Ha/atom. For the formation enthalpy at 0 K, the calculation gives -0.41 eV/atom. Its crystal system is hexagonal.

=====

(8)
Below is an optimized crystal structure of Er3InN, with properties calculated at the GGA-PBEsol level.

Lattice parameters (Å, degrees): 4.6943 4.6943 4.6943 90.00 90.00 90.00
Closest atoms and distances in Å follow each position.
Sites, in units of the cell vectors:
Er: 0.5000 0.0000 0.5000  2 N 2.35
Er: 0.5000 0.5000 0.0000  2 N 2.35
Er: 0.0000 0.5000 0.5000  2 N 2.35
In: 0.0000 0.0000 0.0000  12 Er 3.32
N: 0.5000 0.5000 0.5000  6 Er 2.35

Results
As for the space group: No. 221. As for the total energy: -0.23479 Ha/atom. The uncorrected formation energy comes out at -1.131 eV/atom. Its crystal system is cubic.